1.
# TbGdZn2

An optimized crystal structure of TbGdZn2 (PBE, Alexandria via LeMat-Bulk).

ΔE_f ... -0.347 eV per atom
V ... 23.2 A^3/atom
Total magnetic moment ... 7.89 μB/f.u.
Crystal system ... tetragonal
DOS at the Fermi energy ... 3.47 states/eV per cell

Cell lengths 5.068, 5.068, 3.614 Å; angles 90.00, 90.00, 90.00 degrees
Space group P4/mmm (No. 123)
One atom of each set of equivalent atoms:
Tb (0.000, 0.000, 0.000) [1 per cell]
Gd (0.500, 0.500, 0.000) [1 per cell]
Zn (0.000, 0.500, 0.500) [2 per cell]


2.
# TbGd2Zn

An optimized crystal structure of TbGd2Zn (PBE, Alexandria via LeMat-Bulk).

ΔE_f ... 0.035 eV per atom
V ... 27.3 A^3/atom
Energy relative to the lowest polymorph listed for this composition ... 0.190 eV per atom
Total magnetic moment ... 14.96 μB/f.u.
Crystal system ... cubic
DOS at the Fermi energy ... 20.05 states/eV per cell

Cell lengths 7.589, 7.589, 7.589 Å; angles 90.00, 90.00, 90.00 degrees
Space group Fm-3m (No. 225)
One atom of each set of equivalent atoms:
Tb (0.000, 0.000, 0.000) [4 per cell]
Gd (0.250, 0.250, 0.250) [8 per cell]
Zn (0.000, 0.000, 0.500) [4 per cell]


3.
# TbGd2Zn

An optimized crystal structure of TbGd2Zn (PBE, Alexandria via LeMat-Bulk).

ΔE_f ... -0.051 eV per atom
V ... 27.2 A^3/atom
Energy relative to the lowest polymorph listed for this composition ... 0.104 eV per atom
Total magnetic moment ... 15.35 μB/f.u.
Crystal system ... tetragonal
DOS at the Fermi energy ... 4.83 states/eV per cell

Cell lengths 4.760, 4.760, 4.794 Å; angles 90.00, 90.00, 90.00 degrees
Space group P4/mmm (No. 123)
One atom of each set of equivalent atoms:
Tb (0.000, 0.000, 0.000) [1 per cell]
Gd (0.000, 0.500, 0.500) [2 per cell]
Zn (0.500, 0.500, 0.000) [1 per cell]


4.
# TbGd2Zn

An optimized crystal structure of TbGd2Zn (PBE, Alexandria via LeMat-Bulk).

ΔE_f ... 0.257 eV per atom
V ... 31.0 A^3/atom
Energy relative to the lowest polymorph listed for this composition ... 0.412 eV per atom
Total magnetic moment ... 14.97 μB/f.u.
Crystal system ... trigonal
DOS at the Fermi energy ... 14.38 states/eV per cell

Cell lengths 3.4802, 3.4802, 35.4647 Å; angles 90.00, 90.00, 120.00 degrees
Space group R-3m (No. 166, hexagonal axes)
One atom of each set of equivalent atoms:
Tb (0.0000, 0.0000, 0.0000) [3 per cell]
Gd (0.0000, 0.0000, 0.4138) [6 per cell]
Zn (0.0000, 0.0000, 0.5000) [3 per cell]


5.
# Tb2GdZr

An optimized crystal structure of Tb2GdZr (PBE, Alexandria via LeMat-Bulk).

ΔE_f ... 0.094 eV per atom
V ... 29.1 A^3/atom
Energy relative to the lowest polymorph listed for this composition ... 0.000 eV per atom
Total magnetic moment ... 6.98 μB/f.u.
Crystal system ... tetragonal
DOS at the Fermi energy ... 4.72 states/eV per cell

Cell lengths 4.884, 4.884, 4.875 Å; angles 90.00, 90.00, 90.00 degrees
Space group P4/mmm (No. 123)
One atom of each set of equivalent atoms:
Tb (0.000, 0.500, 0.000) [2 per cell]
Gd (0.000, 0.000, 0.500) [1 per cell]
Zr (0.500, 0.500, 0.500) [1 per cell]


6.
# Tb2GdZr

An optimized crystal structure of Tb2GdZr (PBE, Alexandria via LeMat-Bulk).

ΔE_f ... 0.164 eV per atom
V ... 29.6 A^3/atom
Energy relative to the lowest polymorph listed for this composition ... 0.070 eV per atom
Total magnetic moment ... 6.94 μB/f.u.
Crystal system ... tetragonal
DOS at the Fermi energy ... 8.26 states/eV per cell

Cell lengths 4.006, 4.006, 7.371 Å; angles 90.00, 90.00, 90.00 degrees
Space group P4/mmm (No. 123)
One atom of each set of equivalent atoms:
Tb (0.000, 0.000, 0.222) [2 per cell]
Gd (0.500, 0.500, 0.500) [1 per cell]
Zr (0.500, 0.500, 0.000) [1 per cell]


7.
# Tb2GdZr

An optimized crystal structure of Tb2GdZr (PBE, Alexandria via LeMat-Bulk).

ΔE_f ... 0.215 eV per atom
V ... 29.4 A^3/atom
Energy relative to the lowest polymorph listed for this composition ... 0.120 eV per atom
Total magnetic moment ... 5.21 μB/f.u.
Crystal system ... cubic
DOS at the Fermi energy ... 36.66 states/eV per cell

Cell lengths 7.780, 7.780, 7.780 Å; angles 90.00, 90.00, 90.00 degrees
Space group Fm-3m (No. 225)
One atom of each set of equivalent atoms:
Tb (0.250, 0.250, 0.250) [8 per cell]
Gd (0.000, 0.000, 0.000) [4 per cell]
Zr (0.000, 0.000, 0.500) [4 per cell]


8.
# TbGd2Zr

An optimized crystal structure of TbGd2Zr (PBE, Alexandria via LeMat-Bulk).

ΔE_f ... 0.081 eV per atom
V ... 29.3 A^3/atom
Energy relative to the lowest polymorph listed for this composition ... 0.000 eV per atom
Total magnetic moment ... 14.31 μB/f.u.
Crystal system ... tetragonal
DOS at the Fermi energy ... 5.77 states/eV per cell

Cell lengths 3.433, 3.433, 9.955 Å; angles 90.00, 90.00, 90.00 degrees
Space group P4/mmm (No. 123)
One atom of each set of equivalent atoms:
Tb (0.000, 0.000, 0.000) [1 per cell]
Gd (0.500, 0.500, 0.268) [2 per cell]
Zr (0.000, 0.000, 0.500) [1 per cell]


9.
# TbGd2Zr

An optimized crystal structure of TbGd2Zr (PBE, Alexandria via LeMat-Bulk).

ΔE_f ... 0.183 eV per atom
V ... 29.8 A^3/atom
Energy relative to the lowest polymorph listed for this composition ... 0.102 eV per atom
Total magnetic moment ... 16.84 μB/f.u.
Crystal system ... cubic
DOS at the Fermi energy ... 21.07 states/eV per cell

Cell lengths 7.812, 7.812, 7.812 Å; angles 90.00, 90.00, 90.00 degrees
Space group Fm-3m (No. 225)
One atom of each set of equivalent atoms:
Tb (0.000, 0.000, 0.000) [4 per cell]
Gd (0.250, 0.250, 0.250) [8 per cell]
Zr (0.000, 0.000, 0.500) [4 per cell]


10.
# TbGd2Zr

An optimized crystal structure of TbGd2Zr (PBE, Alexandria via LeMat-Bulk).

ΔE_f ... 0.300 eV per atom
V ... 29.6 A^3/atom
Energy relative to the lowest polymorph listed for this composition ... 0.219 eV per atom
Total magnetic moment ... 14.77 μB/f.u.
Crystal system ... trigonal
DOS at the Fermi energy ... 16.20 states/eV per cell

Cell lengths 3.3728, 3.3728, 36.0875 Å; angles 90.00, 90.00, 120.00 degrees
Space group R-3m (No. 166, hexagonal axes)
One atom of each set of equivalent atoms:
Tb (0.0000, 0.0000, 0.0000) [3 per cell]
Gd (0.0000, 0.0000, 0.4141) [6 per cell]
Zr (0.0000, 0.0000, 0.5000) [3 per cell]


11.
# TbGd2Zr

An optimized crystal structure of TbGd2Zr (PBE, Alexandria via LeMat-Bulk).

ΔE_f ... 0.103 eV per atom
V ... 29.1 A^3/atom
Energy relative to the lowest polymorph listed for this composition ... 0.021 eV per atom
Total magnetic moment ... 13.99 μB/f.u.
Crystal system ... tetragonal
DOS at the Fermi energy ... 5.24 states/eV per cell

Cell lengths 4.879, 4.879, 4.893 Å; angles 90.00, 90.00, 90.00 degrees
Space group P4/mmm (No. 123)
One atom of each set of equivalent atoms:
Tb (0.000, 0.000, 0.000) [1 per cell]
Gd (0.000, 0.500, 0.500) [2 per cell]
Zr (0.500, 0.500, 0.000) [1 per cell]


12.
# GdTc6

An optimized crystal structure of GdTc6 (PBE, Alexandria via LeMat-Bulk).

ΔE_f ... 0.836 eV per atom
V ... 22.2 A^3/atom
Total magnetic moment ... 6.84 μB/f.u.
Crystal system ... cubic
DOS at the Fermi energy ... 15.88 states/eV per cell

Cell lengths 6.772, 6.772, 6.772 Å; angles 90.00, 90.00, 90.00 degrees
Space group Im-3m (No. 229)
One atom of each set of equivalent atoms:
Gd (0.000, 0.000, 0.000) [2 per cell]
Tc (0.000, 0.250, 0.500) [12 per cell]